# 1
VASP calculation (PBE-GGA) on a relaxed Na3Pd8Pb4 crystal.

Cell: 9.4683 9.4683 9.4683 Å, 60.00 60.00 60.00°
Sites, in units of the cell vectors:
Na: 0.7292 0.2708 0.2708
Pb: 0.5000 0.0000 0.0000
Pb: 0.0000 0.0000 0.5000
Pd: 0.6711 0.9868 0.6711
Na: 0.7292 0.2708 0.7292
Pb: 0.0000 0.5000 0.0000
Pd: 0.6408 0.1197 0.1197
Pd: 0.6711 0.6711 0.6711
Pd: 0.3289 0.3289 0.3289
Pb: 0.5000 0.0000 0.5000
Pd: 0.1197 0.1197 0.6408
Pb: 0.5000 0.5000 0.0000
Pd: 0.9868 0.6711 0.6711
Pd: 0.8803 0.8803 0.3592
Pd: 0.8803 0.3592 0.8803
Na: 0.2708 0.7292 0.2708
Pd: 0.6711 0.6711 0.9868
Na: 0.7292 0.7292 0.2708
Pd: 0.1197 0.1197 0.1197
Pb: 0.0000 0.0000 0.0000
Pb: 0.5000 0.5000 0.5000
Na: 0.2708 0.2708 0.7292
Na: 0.2708 0.7292 0.7292
Pd: 0.0132 0.3289 0.3289
Pd: 0.3289 0.0132 0.3289
Pd: 0.1197 0.6408 0.1197
Pd: 0.3289 0.3289 0.0132
Pd: 0.3592 0.8803 0.8803
Pb: 0.0000 0.5000 0.5000
Pd: 0.8803 0.8803 0.8803

Output
The calculation puts the density of states at the Fermi level at 4.2 states/eV/f.u. Its raw total energy is -127.92 eV/cell. Its crystal system is cubic. For the formation energy, the calculation gives -0.24 eV/atom.

=====

# 2
VASP calculation (PBE-GGA) on a relaxed SrCo2Cu crystal.

Cell: 5.4606 5.4606 5.4606 Å, 147.57 128.82 61.90°
Site moments in Bohr magnetons follow the coordinates.
Sites, in units of the cell vectors:
Co: 0.5311 0.5311 0.0000  1.62
Sr: 0.2500 0.7500 0.5000  -0.06
Co: 0.9689 0.9689 0.0000  1.62
Cu: 0.7500 0.2500 0.5000  0.02

Output
The calculation puts the density of states at the Fermi level at 6.0 states/eV/f.u. Its raw total energy is -17.31 eV/cell. Its crystal system is orthorhombic. As for the energy above the most stable polymorph in this dataset: 565 meV per atom. For the formation energy, the calculation gives 0.67 eV/atom.

=====

# 3
VASP calculation (PBE-GGA) on a relaxed SrSc2W crystal.

Cell: 3.4073 3.4075 9.1276 Å, 90.00 90.00 90.00°
Sites, in units of the cell vectors:
Sr: 0.5000 0.5000 0.2500
W: 0.5000 0.5000 0.7500
Sc: 0.0000 0.0000 0.5791
Sc: 0.0000 0.0000 0.9209

Output
The calculation puts the density of states at the Fermi level at 6.6 states/eV/f.u. Its raw total energy is -25.85 eV/cell. Its crystal system is tetragonal. As for the energy above the most stable polymorph in this dataset: 0 meV per atom. For the formation energy, the calculation gives 0.36 eV/atom.

=====

Question: The lowest raw total energy belongs to which entry?
Answer: Na3Pd8Pb4

=====

Question: raw total energy of number 2 (SrCo2Cu)?
Answer: -17.31 eV/cell